(1)
Entry from Alexandria via LeMat-Bulk: a geometry-optimized CdPd2Rh structure (PBE).

a = 3.8623 Å, b = 3.8623 Å, c = 18.8768 Å
α = 90.00°, β = 90.00°, γ = 90.00°
Last column: nearest neighbours and their distance in Å.
Fractional positions:
Cd  0.0000  0.0000  0.0000  4 Rh 2.73, 4 Pd 2.74
Cd  0.0000  0.5000  0.2500  4 Rh 2.73, 4 Pd 2.74
Cd  0.5000  0.0000  0.7500  4 Rh 2.73, 4 Pd 2.74
Cd  0.5000  0.5000  0.5000  4 Rh 2.73, 4 Pd 2.74
Pd  0.2396  0.2500  0.6250  4 Pd 2.67-2.79, 2 Rh 2.71, 2 Cd 2.74
Pd  0.2500  0.7396  0.8750  4 Pd 2.67-2.79, 2 Rh 2.71, 2 Cd 2.74
Pd  0.2500  0.7604  0.3750  4 Pd 2.67-2.79, 2 Rh 2.71, 2 Cd 2.74
Pd  0.2604  0.2500  0.1250  4 Pd 2.67-2.79, 2 Rh 2.71, 2 Cd 2.74
Pd  0.7396  0.7500  0.1250  4 Pd 2.67-2.79, 2 Rh 2.71, 2 Cd 2.74
Pd  0.7500  0.2396  0.3750  4 Pd 2.67-2.79, 2 Rh 2.71, 2 Cd 2.74
Pd  0.7500  0.2604  0.8750  4 Pd 2.67-2.79, 2 Rh 2.71, 2 Cd 2.74
Pd  0.7604  0.7500  0.6250  4 Pd 2.67-2.79, 2 Rh 2.71, 2 Cd 2.74
Rh  0.0000  0.0000  0.5000  4 Pd 2.71, 4 Cd 2.73
Rh  0.0000  0.5000  0.7500  4 Pd 2.71, 4 Cd 2.73
Rh  0.5000  0.0000  0.2500  4 Pd 2.71, 4 Cd 2.73
Rh  0.5000  0.5000  0.0000  4 Pd 2.71, 4 Cd 2.73

Values from the calculation:
ΔH_f (0 K): 0.24 eV per atom
total DFT energy (no corrections): -0.163 hartree per atom
SG: I-42d (122)

=====

(2)
Entry from Alexandria via LeMat-Bulk: a geometry-optimized Rb3TiSe3 structure (PBE).

a = 9.3025 Å, b = 8.4452 Å, c = 13.6142 Å
α = 90.00°, β = 100.14°, γ = 90.00°
Last column: nearest neighbours and their distance in Å.
Fractional positions:
Rb  0.0908  0.1435  0.1327  4 Se 3.38-3.45
Rb  0.0908  0.3565  0.6327  4 Se 3.38-3.45
Rb  0.3019  0.7347  0.7883  5 Se 3.44-3.64, 1 Ti 3.76
Rb  0.3019  0.7653  0.2883  5 Se 3.44-3.64, 1 Ti 3.76
Rb  0.3984  0.2424  0.9173  4 Se 3.41-3.81
Rb  0.3984  0.2576  0.4173  4 Se 3.41-3.81
Rb  0.6016  0.7424  0.5827  4 Se 3.41-3.81
Rb  0.6016  0.7576  0.0827  4 Se 3.41-3.81
Rb  0.6981  0.2347  0.7117  5 Se 3.44-3.64, 1 Ti 3.76
Rb  0.6981  0.2653  0.2117  5 Se 3.44-3.64, 1 Ti 3.76
Rb  0.9092  0.6435  0.3673  4 Se 3.38-3.45
Rb  0.9092  0.8565  0.8673  4 Se 3.38-3.45
Ti  0.1543  0.5690  0.0431  4 Se 2.45-2.50
Ti  0.1543  0.9310  0.5431  4 Se 2.45-2.50
Ti  0.8457  0.0690  0.4569  4 Se 2.45-2.50
Ti  0.8457  0.4310  0.9569  4 Se 2.45-2.50
Se  0.0689  0.0595  0.3776  2 Ti 2.50
Se  0.0689  0.4405  0.8776  2 Ti 2.50
Se  0.2376  0.6595  0.5212  1 Ti 2.46
Se  0.2376  0.8405  0.0212  1 Ti 2.46
Se  0.3553  0.0731  0.6466  1 Ti 2.45
Se  0.3553  0.4269  0.1466  1 Ti 2.45
Se  0.6447  0.5731  0.8534  1 Ti 2.45
Se  0.6447  0.9269  0.3534  1 Ti 2.45
Se  0.7624  0.1595  0.9788  1 Ti 2.46
Se  0.7624  0.3405  0.4788  1 Ti 2.46
Se  0.9311  0.5595  0.1224  2 Ti 2.50
Se  0.9311  0.9405  0.6224  2 Ti 2.50

Values from the calculation:
total DFT energy (no corrections): -0.156 hartree per atom
SG: P2_1/c (14)
ΔE_f (raw): -1.20 eV/atom

=====

(3)
Entry from Alexandria via LeMat-Bulk: a geometry-optimized TcP3 structure (PBE).

a = 5.8057 Å, b = 7.1893 Å, c = 5.7412 Å
α = 90.00°, β = 90.00°, γ = 90.00°
Last column: nearest neighbours and their distance in Å.
Fractional positions:
Tc  0.1678  0.2500  0.0164  8 P 2.39-2.54
Tc  0.3322  0.7500  0.5164  8 P 2.39-2.54
Tc  0.6678  0.2500  0.4836  8 P 2.39-2.54
Tc  0.8322  0.7500  0.9836  8 P 2.39-2.54
P  0.0601  0.2500  0.6124  2 P 2.27, 2 Tc 2.39-2.40
P  0.1974  0.5857  0.8805  2 P 2.27-2.36, 2 Tc 2.50-2.53
P  0.1974  0.9143  0.8805  2 P 2.27-2.36, 2 Tc 2.50-2.53
P  0.3026  0.0857  0.3805  2 P 2.27-2.36, 2 Tc 2.50-2.53
P  0.3026  0.4143  0.3805  2 P 2.27-2.36, 2 Tc 2.50-2.53
P  0.4399  0.7500  0.1124  2 P 2.27, 2 Tc 2.39-2.40
P  0.5601  0.2500  0.8876  2 P 2.27, 2 Tc 2.39-2.40
P  0.6974  0.5857  0.6195  2 P 2.27-2.36, 2 Tc 2.50-2.53
P  0.6974  0.9143  0.6195  2 P 2.27-2.36, 2 Tc 2.50-2.53
P  0.8026  0.0857  0.1195  2 P 2.27-2.36, 2 Tc 2.50-2.53
P  0.8026  0.4143  0.1195  2 P 2.27-2.36, 2 Tc 2.50-2.53
P  0.9399  0.7500  0.3876  2 P 2.27, 2 Tc 2.39-2.40

Values from the calculation:
ΔH_f (0 K): -0.23 eV per atom
total DFT energy (no corrections): -0.253 hartree per atom
SG: Pnma (62)

=====

(4)
Entry from Alexandria via LeMat-Bulk: a geometry-optimized InNi2Ge structure (PBE).

a = 6.1412 Å, b = 6.1412 Å, c = 6.1412 Å
α = 90.00°, β = 90.00°, γ = 90.00°
Last column: nearest neighbours and their distance in Å.
Fractional positions:
In  0.0000  0.0000  0.0000  8 Ni 2.66
In  0.0000  0.5000  0.5000  8 Ni 2.66
In  0.5000  0.0000  0.5000  8 Ni 2.66
In  0.5000  0.5000  0.0000  8 Ni 2.66
Ni  0.2500  0.2500  0.2500  4 Ge 2.66, 4 In 2.66
Ni  0.2500  0.2500  0.7500  4 Ge 2.66, 4 In 2.66
Ni  0.2500  0.7500  0.2500  4 Ge 2.66, 4 In 2.66
Ni  0.2500  0.7500  0.7500  4 Ge 2.66, 4 In 2.66
Ni  0.7500  0.2500  0.2500  4 Ge 2.66, 4 In 2.66
Ni  0.7500  0.2500  0.7500  4 Ge 2.66, 4 In 2.66
Ni  0.7500  0.7500  0.2500  4 Ge 2.66, 4 In 2.66
Ni  0.7500  0.7500  0.7500  4 Ge 2.66, 4 In 2.66
Ge  0.0000  0.0000  0.5000  8 Ni 2.66
Ge  0.0000  0.5000  0.0000  8 Ni 2.66
Ge  0.5000  0.0000  0.0000  8 Ni 2.66
Ge  0.5000  0.5000  0.5000  8 Ni 2.66

Values from the calculation:
ΔH_f (0 K): -0.04 eV per atom
total DFT energy (no corrections): -0.175 hartree per atom
SG: Fm-3m (225)

=====

(5)
Entry from Alexandria via LeMat-Bulk: a geometry-optimized CdOs2Cl structure (PBE).

a = 2.9036 Å, b = 2.9036 Å, c = 8.3732 Å
α = 90.00°, β = 90.00°, γ = 90.00°
Last column: nearest neighbours and their distance in Å.
Fractional positions:
Cd  0.0000  0.0000  0.0000  4 Cd 2.90, 4 Os 2.92
Os  0.0000  0.0000  0.5602  8 Os 2.60-2.90, 4 Cl 2.77
Os  0.5000  0.5000  0.7512  8 Os 2.60-2.90
Cl  0.5000  0.5000  0.3381  4 Os 2.77, 4 Cl 2.90

Values from the calculation:
total DFT energy (no corrections): -0.218 hartree per atom
SG: P4mm (99)
ΔE_f (raw): 0.37 eV/atom

=====

(6)
Entry from Alexandria via LeMat-Bulk: a geometry-optimized LaCo2Os structure (PBE).

a = 2.9173 Å, b = 4.2016 Å, c = 5.4460 Å
α = 90.00°, β = 102.53°, γ = 90.00°
Last column: nearest neighbours and their distance in Å.
Fractional positions:
La  0.0000  0.0000  0.0000  6 Co 2.70-2.95, 2 La 2.92
Co  0.3554  0.0000  0.5017  4 Os 2.52-2.72, 2 Co 2.54, 1 La 2.70
Co  0.4100  0.5000  0.7690  2 Os 2.44-2.47, 2 Co 2.54
Os  0.7502  0.5000  0.3981  6 Co 2.44-2.72

Values from the calculation:
ΔH_f (0 K): 0.33 eV per atom
total DFT energy (no corrections): -0.267 hartree per atom
SG: Pm (6)

=====

(7)
Entry from Alexandria via LeMat-Bulk: a geometry-optimized Ba2GaSn4Au3 structure (PBE).

a = 4.8476 Å, b = 4.8476 Å, c = 11.5379 Å
α = 90.00°, β = 90.00°, γ = 90.00°
Last column: nearest neighbours and their distance in Å.
Fractional positions:
Ba  0.0000  0.5000  0.2434  8 Sn 3.68-3.83, 2 Ga 3.71, 6 Au 3.71
Ba  0.5000  0.0000  0.7566  8 Sn 3.68-3.83, 2 Ga 3.71, 6 Au 3.71
Ga  0.5000  0.5000  0.0000  4 Sn 2.84
Sn  0.0000  0.0000  0.5000  4 Au 2.87
Sn  0.0000  0.5000  0.8715  3 Au 2.76-2.84, 2 Ga 2.84
Sn  0.5000  0.0000  0.1285  3 Au 2.76-2.84, 2 Ga 2.84
Sn  0.5000  0.5000  0.5000  4 Au 2.87
Au  0.0000  0.0000  0.0000  4 Sn 2.84
Au  0.0000  0.5000  0.6327  5 Sn 2.76-2.87
Au  0.5000  0.0000  0.3674  5 Sn 2.76-2.87

Values from the calculation:
ΔH_f (0 K): -0.57 eV per atom
total DFT energy (no corrections): -0.141 hartree per atom
SG: P-4m2 (115)

=====

(8)
Entry from Alexandria via LeMat-Bulk: a geometry-optimized KBaP3 structure (PBE).

a = 5.8216 Å, b = 5.8216 Å, c = 5.8216 Å
α = 90.00°, β = 90.00°, γ = 90.00°
Last column: nearest neighbours and their distance in Å.
Fractional positions:
K  0.0000  0.0000  0.0000  12 P 4.12
Ba  0.5000  0.5000  0.5000  6 P 2.91
P  0.0000  0.5000  0.5000  2 Ba 2.91
P  0.5000  0.0000  0.5000  2 Ba 2.91
P  0.5000  0.5000  0.0000  2 Ba 2.91

Values from the calculation:
ΔH_f (0 K): 0.81 eV per atom
total DFT energy (no corrections): -0.112 hartree per atom
SG: Pm-3m (221)

=====

(9)
Entry from Alexandria via LeMat-Bulk: a geometry-optimized Tb5Sb2H structure (PBE).

a = 6.9389 Å, b = 6.9389 Å, c = 8.7465 Å
α = 90.00°, β = 90.00°, γ = 90.00°
Last column: nearest neighbours and their distance in Å.
Fractional positions:
Tb  0.0000  0.0000  0.0000  1 H 2.27
Tb  0.2494  0.2494  0.2452  1 H 2.45
Tb  0.2494  0.7506  0.2452  1 H 2.45
Tb  0.2506  0.2506  0.7452  1 H 2.45
Tb  0.2506  0.7494  0.7452  1 H 2.45
Tb  0.5000  0.5000  0.5000  1 H 2.27
Tb  0.7494  0.2506  0.7452  1 H 2.45
Tb  0.7494  0.7494  0.7452  1 H 2.45
Tb  0.7506  0.2494  0.2452  1 H 2.45
Tb  0.7506  0.7506  0.2452  1 H 2.45
Sb  0.0000  0.5000  0.4950  10 Tb 3.29-3.47
Sb  0.0000  0.5000  0.9950  10 Tb 3.29-3.47
Sb  0.5000  0.0000  0.4950  10 Tb 3.29-3.47
Sb  0.5000  0.0000  0.9950  10 Tb 3.29-3.47
H  0.0000  0.0000  0.2600  5 Tb 2.27-2.45
H  0.5000  0.5000  0.7600  5 Tb 2.27-2.45

Values from the calculation:
total DFT energy (no corrections): -0.178 hartree per atom
SG: I4mm (107)

=====

(10)
Entry from Alexandria via LeMat-Bulk: a geometry-optimized TiCdAu2O6 structure (PBE).

a = 6.9930 Å, b = 6.9930 Å, c = 7.2936 Å
α = 108.54°, β = 108.54°, γ = 64.00°
Last column: nearest neighbours and their distance in Å.
Fractional positions:
Ti  0.1730  0.8270  0.7500  4 O 1.84-1.85
Ti  0.8270  0.1730  0.2500  4 O 1.84-1.85
Cd  0.2671  0.7329  0.2500  6 O 2.30-2.40
Cd  0.7329  0.2671  0.7500  6 O 2.30-2.40
Au  0.2525  0.3412  0.4107  4 O 2.01-2.07
Au  0.3412  0.2525  0.9107  4 O 2.01-2.07
Au  0.6588  0.7475  0.0893  4 O 2.01-2.07
Au  0.7475  0.6588  0.5893  4 O 2.01-2.07
O  0.1147  0.1192  0.2713  1 Ti 1.84, 1 Au 2.01
O  0.1192  0.1147  0.7713  1 Ti 1.84, 1 Au 2.01
O  0.1937  0.4210  0.1503  2 Au 2.02-2.07
O  0.2914  0.6354  0.5367  1 Ti 1.85, 1 Au 2.07
O  0.3646  0.7086  0.9633  1 Ti 1.85, 1 Au 2.07
O  0.4210  0.1937  0.6503  2 Au 2.02-2.07
O  0.5790  0.8063  0.3497  2 Au 2.02-2.07
O  0.6354  0.2914  0.0367  1 Ti 1.85, 1 Au 2.07
O  0.7086  0.3646  0.4633  1 Ti 1.85, 1 Au 2.07
O  0.8063  0.5790  0.8497  2 Au 2.02-2.07
O  0.8808  0.8853  0.2287  1 Ti 1.84, 1 Au 2.01
O  0.8853  0.8808  0.7287  1 Ti 1.84, 1 Au 2.01

Values from the calculation:
total DFT energy (no corrections): -0.203 hartree per atom
SG: C2/c (15)
ΔE_f (raw): -1.02 eV/atom